DFT (GGA-PBE) results for crystalline GaTcS2 at its relaxed geometry.

Cell and atoms, written as extended XYZ:
```
4
Lattice="-0.085 -7.718 0.392 2.822 -7.116 -1.059 2.551 -6.946 2.230" Properties=species:S:1:pos:R:3 pbc="T T T"
S 0.533 -2.194 0.157
S 4.755 -19.587 1.405
Ga 2.644 -10.890 0.781
Tc 0.000 0.000 0.000
```

Results
- ρ: 5.44 Mg/m³
- Formation energy without anion corrections: 3.281 kcal/mol of atoms

DFT (GGA-PBE) results for crystalline GaTc2S at its relaxed geometry.

Cell and atoms, written as extended XYZ:
```
4
Lattice="0.194 -3.304 -2.693 -3.025 -0.517 -2.964 0.913 0.653 -4.116" Properties=species:S:1:pos:R:3 pbc="T T T"
Tc -0.479 -0.792 -2.443
Tc -1.438 -2.376 -7.330
S 0.000 0.000 0.000
Ga -0.959 -1.584 -4.887
```

Results
- Offset from the most stable computed form: 0 meV per atom
- ρ: 9.00 Mg/m³
- Formation energy without anion corrections: 3.122 kcal/mol of atoms

DFT (GGA-PBE) results for crystalline GaTcS3 at its relaxed geometry.

Cell and atoms, written as extended XYZ:
```
5
Lattice="4.686 0.000 0.000 0.000 4.686 0.000 0.000 0.000 4.686" Properties=species:S:1:pos:R:3 pbc="T T T"
S 0.000 2.343 0.000
S 0.000 0.000 2.343
S 2.343 0.000 0.000
Tc 0.000 0.000 0.000
Ga 2.343 2.343 2.343
```

Results
- Offset from the most stable computed form: 0 meV per atom
- ρ: 4.26 Mg/m³
- Formation energy without anion corrections: 2.667 kcal/mol of atoms

DFT (GGA-PBE) results for crystalline GaTc3S at its relaxed geometry.

Cell and atoms, written as extended XYZ:
```
5
Lattice="-2.411 -2.532 -2.581 1.315 -3.504 2.209 -3.368 0.444 2.710" Properties=species:S:1:pos:R:3 pbc="T T T"
Tc -1.684 0.222 1.355
Tc -1.206 -1.266 -1.291
Tc 0.657 -1.752 1.104
Ga -2.232 -2.796 1.169
S 0.000 0.000 0.000
```

Results
- Offset from the most stable computed form: 0 meV per atom
- ρ: 8.01 Mg/m³
- Formation energy without anion corrections: 9.692 kcal/mol of atoms

DFT (GGA-PBE) results for crystalline Y2GaTcS at its relaxed geometry.

Cell and atoms, written as extended XYZ:
```
5
Lattice="5.447 0.000 0.000 0.000 4.456 0.000 0.000 0.000 5.447" Properties=species:S:1:pos:R:3 pbc="T T T"
Y 2.723 0.000 0.000
Y 0.000 0.000 2.723
S 0.000 2.228 0.000
Ga 0.000 0.000 0.000
Tc 2.723 2.228 2.723
```

Results
- ρ: 4.74 Mg/m³
- Formation energy without anion corrections: 16.672 kcal/mol of atoms

DFT (GGA-PBE) results for crystalline GaTeS3 at its relaxed geometry.

Cell and atoms, written as extended XYZ:
```
20
Lattice="-0.953 5.776 3.997 -4.028 0.429 -5.773 -8.802 -5.424 5.739" Properties=species:S:1:pos:R:3 pbc="T T T"
S -4.846 0.883 -0.613
S -8.384 -2.943 2.527
S -5.400 3.723 1.436
S -8.938 -0.103 4.575
S -11.967 -1.765 3.139
S -1.817 2.546 0.823
S -5.825 3.257 5.123
S -9.906 0.273 0.884
S -11.203 -3.708 0.042
S -3.878 0.507 3.079
S -7.959 -2.477 -1.161
S -2.581 4.488 3.920
Te -3.503 1.535 -3.559
Te -10.281 -0.755 7.522
Te -5.665 -1.092 2.824
Te -8.119 1.872 1.138
Ga -9.700 -1.120 2.711
Ga -4.083 1.900 1.251
Ga -3.877 -1.154 -0.571
Ga -9.907 1.934 4.533
```

Results
- Offset from the most stable computed form: 0 meV per atom
- ρ: 3.50 Mg/m³
- Formation energy without anion corrections: -6.269 kcal/mol of atoms